1.
DFT (PBE-GGA) results for crystalline PmHoEr at its relaxed geometry. Values from VASP.

Summary:
DFT total energy   -3.91 eV per atom
Excess energy over the best structure of this formula in the dataset   0.0000 eV/atom
ΔE_f   0.71 eV per atom
Symmetry   F-43m

```
&SYSTEM
  ibrav = 0, nat = 3, ntyp = 3
/
ATOMIC_SPECIES
Pm 145.00 Pm.upf
Ho 164.93 Ho.upf
Er 167.26 Er.upf
ATOMIC_POSITIONS crystal
Pm 0.000 0.000 0.000
Ho 0.500 0.500 0.500
Er 0.750 0.750 0.750
CELL_PARAMETERS angstrom
0.000 3.829 3.829
3.829 0.000 3.829
3.829 3.829 0.000
```

***

2.
DFT (PBE-GGA) results for crystalline Fe2SiSb at its relaxed geometry. Values from VASP.

Summary:
DFT total energy   -6.43 eV per atom
Symmetry   Pm-3m

```
&SYSTEM
  ibrav = 0, nat = 16, ntyp = 3
/
ATOMIC_SPECIES
Fe 55.84 Fe.upf
Si 28.09 Si.upf
Sb 121.76 Sb.upf
ATOMIC_POSITIONS crystal
Fe 0.231 0.231 0.231
Fe 0.231 0.231 0.769
Fe 0.231 0.769 0.231
Fe 0.231 0.769 0.769
Fe 0.769 0.231 0.231
Fe 0.769 0.231 0.769
Fe 0.769 0.769 0.231
Fe 0.769 0.769 0.769
Si 0.000 0.000 0.000
Si 0.000 0.000 0.500
Si 0.000 0.500 0.000
Si 0.500 0.000 0.000
Sb 0.000 0.500 0.500
Sb 0.500 0.000 0.500
Sb 0.500 0.500 0.000
Sb 0.500 0.500 0.500
CELL_PARAMETERS angstrom
5.950 0.000 0.000
0.000 5.950 0.000
0.000 0.000 5.950
```